Arrangement 1

VASP calculation (meta-GGA SCAN) on a crystal of CaYS2 relaxed with PBEsol.

Summary:
V	114.47	Å³ per cell
crystal system	trigonal
magnetization	0.000	μB per atom

a b c (Å): 4.0192 4.0192 8.5049
angles (deg): 76.33 76.33 60.00
Fractional positions:
S (0.8914, 0.8914, 0.3258)
S (0.1086, 0.1086, 0.6742)
Y (0.5000, 0.5000, 0.5000)
Ca (0.0000, 0.0000, 0.0000)

Arrangement 2

VASP calculation (meta-GGA SCAN) on a crystal of CaYS2 relaxed with PBEsol.

Summary:
V	117.32	Å³ per cell
crystal system	trigonal
magnetization	0.108	μB per atom

a b c (Å): 4.1340 4.1340 8.2781
angles (deg): 75.54 75.54 60.00
Fractional positions:
S (0.8951, 0.8951, 0.3146)
S (0.1049, 0.1049, 0.6854)
Y (0.0000, 0.0000, 0.0000)
Ca (0.5000, 0.5000, 0.5000)

Which of them is the most stable, and which is the least stable? arrangement 1 and arrangement 2, in that order.

Arrangement 1

VASP calculation (meta-GGA SCAN) on a crystal of Ca5Sb3 relaxed with PBEsol.

Summary:
V	477.52	Å³ per cell
crystal system	hexagonal
magnetization	0.116	μB per atom

a b c (Å): 6.8414 8.9776 8.9776
angles (deg): 120.00 90.00 90.00
Fractional positions:
Ca (0.7500, 0.2522, 0.2522)
Ca (0.2500, 0.2522, 0.0000)
Ca (0.5000, 0.3333, 0.6667)
Ca (0.2500, 0.0000, 0.2522)
Ca (0.0000, 0.3333, 0.6667)
Ca (0.2500, 0.7478, 0.7478)
Ca (0.7500, 0.7478, 0.0000)
Ca (0.5000, 0.6667, 0.3333)
Ca (0.0000, 0.6667, 0.3333)
Ca (0.7500, 0.0000, 0.7478)
Sb (0.7500, 0.0000, 0.3895)
Sb (0.2500, 0.6105, 0.0000)
Sb (0.7500, 0.6105, 0.6105)
Sb (0.2500, 0.3895, 0.3895)
Sb (0.7500, 0.3895, 0.0000)
Sb (0.2500, 0.0000, 0.6105)

Arrangement 2

VASP calculation (meta-GGA SCAN) on a crystal of Ca5Sb3 relaxed with PBEsol.

Summary:
V	963.99	Å³ per cell
crystal system	orthorhombic
magnetization	0.125	μB per atom

a b c (Å): 8.1918 9.4771 12.4171
angles (deg): 90.00 90.00 90.00
Fractional positions:
Ca (0.0354, 0.7500, 0.5045)
Ca (0.9646, 0.2500, 0.4955)
Ca (0.6815, 0.2500, 0.2715)
Ca (0.3071, 0.0418, 0.4236)
Ca (0.5354, 0.2500, 0.9955)
Ca (0.6929, 0.9582, 0.5764)
Ca (0.6929, 0.5418, 0.5764)
Ca (0.8071, 0.5418, 0.0764)
Ca (0.8462, 0.7500, 0.7921)
Ca (0.1929, 0.4582, 0.9236)
Ca (0.3185, 0.7500, 0.7285)
Ca (0.1815, 0.7500, 0.2285)
Ca (0.8071, 0.9582, 0.0764)
Ca (0.4646, 0.7500, 0.0045)
Ca (0.1929, 0.0418, 0.9236)
Ca (0.6538, 0.7500, 0.2921)
Ca (0.8185, 0.2500, 0.7715)
Ca (0.3071, 0.4582, 0.4236)
Ca (0.1538, 0.2500, 0.2079)
Ca (0.3462, 0.2500, 0.7079)
Sb (0.9225, 0.2500, 0.0158)
Sb (0.4374, 0.0115, 0.1710)
Sb (0.5775, 0.2500, 0.5158)
Sb (0.9374, 0.5115, 0.3290)
Sb (0.0775, 0.7500, 0.9842)
Sb (0.9374, 0.9885, 0.3290)
Sb (0.0626, 0.4885, 0.6710)
Sb (0.4374, 0.4885, 0.1710)
Sb (0.5626, 0.5115, 0.8290)
Sb (0.0626, 0.0115, 0.6710)
Sb (0.5626, 0.9885, 0.8290)
Sb (0.4225, 0.7500, 0.4842)

Which of them is the most stable, and which is the least stable? arrangement 2 and arrangement 1, in that order.

Arrangement 1

VASP calculation (meta-GGA SCAN) on a crystal of Ca2SbSe relaxed with PBEsol.

Summary:
V	104.08	Å³ per cell
crystal system	cubic
magnetization	0.000	μB per atom

a b c (Å): 5.2800 5.2800 5.2800
angles (deg): 60.00 60.00 60.00
Fractional positions:
Ca (0.7500, 0.7500, 0.7500)
Ca (0.2500, 0.2500, 0.2500)
Sb (0.0000, 0.0000, 0.0000)
Se (0.5000, 0.5000, 0.5000)

Arrangement 2

VASP calculation (meta-GGA SCAN) on a crystal of Ca2SbSe relaxed with PBEsol.

Summary:
V	111.26	Å³ per cell
crystal system	trigonal
magnetization	0.000	μB per atom

a b c (Å): 4.0788 4.0788 8.0732
angles (deg): 75.37 75.37 60.00
Fractional positions:
Se (0.0000, 0.0000, 0.0000)
Sb (0.5000, 0.5000, 0.5000)
Ca (0.2595, 0.2595, 0.2215)
Ca (0.7405, 0.7405, 0.7785)

Which of them is the most stable, and which is the least stable? arrangement 2 and arrangement 1, in that order.

Arrangement 1

VASP calculation (meta-GGA SCAN) on a crystal of CaTlSb2 relaxed with PBEsol.

Summary:
V	107.68	Å³ per cell
crystal system	tetragonal
magnetization	0.000	μB per atom

a b c (Å): 4.7720 4.7503 4.7503
angles (deg): 90.00 90.00 90.00
Fractional positions:
Ca (0.5000, 0.0000, 0.0000)
Sb (0.0000, 0.5000, 0.0000)
Sb (0.0000, 0.0000, 0.5000)
Tl (0.5000, 0.5000, 0.5000)

Arrangement 2

VASP calculation (meta-GGA SCAN) on a crystal of CaTlSb2 relaxed with PBEsol.

Summary:
V	112.94	Å³ per cell
crystal system	orthorhombic
magnetization	0.000	μB per atom

a b c (Å): 4.1543 4.1822 6.5007
angles (deg): 90.00 90.00 90.00
Fractional positions:
Tl (0.5000, 0.5000, 0.0000)
Sb (0.0000, 0.0000, 0.2771)
Sb (0.0000, 0.0000, 0.7229)
Ca (0.5000, 0.5000, 0.5000)

Arrangement 3

VASP calculation (meta-GGA SCAN) on a crystal of CaTlSb2 relaxed with PBEsol.

Summary:
V	110.60	Å³ per cell
crystal system	monoclinic
magnetization	0.000	μB per atom

a b c (Å): 3.9644 5.1334 6.2602
angles (deg): 112.47 108.46 90.00
Fractional positions:
Tl (0.4845, 0.5066, 0.9689)
Ca (0.2519, 0.7273, 0.5037)
Sb (0.0253, 0.0582, 0.0506)
Sb (0.7384, 0.2078, 0.4767)

Arrangement 4

VASP calculation (meta-GGA SCAN) on a crystal of CaTlSb2 relaxed with PBEsol.

Summary:
V	109.36	Å³ per cell
crystal system	orthorhombic
magnetization	0.000	μB per atom

a b c (Å): 3.5240 5.6936 5.6936
angles (deg): 106.81 90.00 90.00
Fractional positions:
Sb (0.0000, 0.0000, 0.5000)
Sb (0.0000, 0.5000, 0.0000)
Tl (0.5000, 0.0000, 0.0000)
Ca (0.5000, 0.5000, 0.5000)

Which of them is the most stable, and which is the least stable? arrangement 1 and arrangement 3, in that order.

Arrangement 1

VASP calculation (meta-GGA SCAN) on a crystal of CaSb2W relaxed with PBEsol.

Summary:
V	85.18	Å³ per cell
crystal system	tetragonal
magnetization	0.000	μB per atom

a b c (Å): 3.6095 4.8565 4.8595
angles (deg): 90.00 90.00 90.00
Fractional positions:
Ca (0.5000, 0.0000, 0.5000)
W (0.5000, 0.5000, 0.0000)
Sb (0.0000, 0.0000, 0.0000)
Sb (0.0000, 0.5000, 0.5000)

Arrangement 2

VASP calculation (meta-GGA SCAN) on a crystal of CaSb2W relaxed with PBEsol.

Summary:
V	201.61	Å³ per cell
crystal system	tetragonal
magnetization	0.000	μB per atom

a b c (Å): 6.4379 6.4379 6.4379
angles (deg): 105.20 105.20 118.39
Fractional positions:
Ca (0.5000, 0.5000, 0.0000)
Ca (0.7500, 0.2500, 0.5000)
W (0.2500, 0.7500, 0.5000)
W (0.0000, 0.0000, 0.0000)
Sb (0.9184, 0.8750, 0.5434)
Sb (0.6250, 0.0816, 0.9566)
Sb (0.1250, 0.6684, 0.0434)
Sb (0.3316, 0.3750, 0.4566)

Arrangement 3

VASP calculation (meta-GGA SCAN) on a crystal of CaSb2W relaxed with PBEsol.

Summary:
V	97.37	Å³ per cell
crystal system	trigonal
magnetization	0.000	μB per atom

a b c (Å): 3.8556 3.8556 7.8843
angles (deg): 75.85 75.85 60.00
Fractional positions:
Ca (0.0000, 0.0000, 0.0000)
Sb (0.2375, 0.2375, 0.2875)
Sb (0.7625, 0.7625, 0.7125)
W (0.5000, 0.5000, 0.5000)

Which of them is the most stable, and which is the least stable? arrangement 3 and arrangement 1, in that order.

Arrangement 1

VASP calculation (meta-GGA SCAN) on a crystal of Ca2YSb relaxed with PBEsol.

Summary:
V	120.39	Å³ per cell
crystal system	tetragonal
magnetization	0.254	μB per atom

a b c (Å): 4.1282 4.1282 7.0645
angles (deg): 90.00 90.00 90.00
Fractional positions:
Ca (0.0000, 0.0000, 0.9866)
Ca (0.5000, 0.5000, 0.2738)
Y (0.5000, 0.5000, 0.7203)
Sb (0.0000, 0.0000, 0.5193)

Arrangement 2

VASP calculation (meta-GGA SCAN) on a crystal of Ca2YSb relaxed with PBEsol.

Summary:
V	117.75	Å³ per cell
crystal system	tetragonal
magnetization	0.000	μB per atom

a b c (Å): 4.5694 4.5694 6.4993
angles (deg): 110.58 110.58 90.00
Fractional positions:
Ca (0.2500, 0.7500, 0.5000)
Ca (0.7500, 0.2500, 0.5000)
Y (0.0000, 0.0000, 0.0000)
Sb (0.5000, 0.5000, 0.0000)

Which of them is the most stable, and which is the least stable? arrangement 1 and arrangement 2, in that order.

Arrangement 1

VASP calculation (meta-GGA SCAN) on a crystal of Ca2ZnSb relaxed with PBEsol.

Summary:
V	102.29	Å³ per cell
crystal system	tetragonal
magnetization	0.000	μB per atom

a b c (Å): 4.1563 4.9610 4.9610
angles (deg): 90.00 90.00 90.00
Fractional positions:
Ca (0.0000, 0.5000, 0.0000)
Ca (0.0000, 0.0000, 0.5000)
Zn (0.5000, 0.0000, 0.0000)
Sb (0.5000, 0.5000, 0.5000)

Arrangement 2

VASP calculation (meta-GGA SCAN) on a crystal of Ca2ZnSb relaxed with PBEsol.

Summary:
V	107.91	Å³ per cell
crystal system	orthorhombic
magnetization	0.000	μB per atom

a b c (Å): 4.3307 4.3934 6.0822
angles (deg): 111.17 90.00 90.00
Fractional positions:
Zn (0.0000, 0.2931, 0.5862)
Ca (0.0000, 0.0180, 0.0360)
Ca (0.5000, 0.7372, 0.4743)
Sb (0.5000, 0.4517, 0.9035)

Which of them is the most stable, and which is the least stable? arrangement 2 and arrangement 1, in that order.

Arrangement 1

VASP calculation (meta-GGA SCAN) on a crystal of CaSc relaxed with PBEsol.

Summary:
V	120.67	Å³ per cell
crystal system	trigonal
magnetization	0.322	μB per atom

a b c (Å): 3.4881 3.4881 11.4528
angles (deg): 90.00 90.00 120.00
Fractional positions:
Sc (0.3333, 0.6667, 0.6045)
Sc (0.6667, 0.3333, 0.3955)
Ca (0.6667, 0.3333, 0.8563)
Ca (0.3333, 0.6667, 0.1437)

Arrangement 2

VASP calculation (meta-GGA SCAN) on a crystal of CaSc relaxed with PBEsol.

Summary:
V	122.89	Å³ per cell
crystal system	tetragonal
magnetization	0.247	μB per atom

a b c (Å): 3.5840 3.5840 9.5672
angles (deg): 90.00 90.00 90.00
Fractional positions:
Ca (0.0000, 0.5000, 0.1541)
Ca (0.5000, 0.0000, 0.8459)
Sc (0.5000, 0.0000, 0.4080)
Sc (0.0000, 0.5000, 0.5920)

Which of them is the most stable, and which is the least stable? arrangement 2 and arrangement 1, in that order.

Arrangement 1

VASP calculation (meta-GGA SCAN) on a crystal of SrCa2Sc relaxed with PBEsol.

Summary:
V	145.74	Å³ per cell
crystal system	orthorhombic
magnetization	0.337	μB per atom

a b c (Å): 4.0293 6.0227 7.0138
angles (deg): 115.43 106.69 90.00
Fractional positions:
Sc (0.4934, 0.4934, 0.9868)
Sr (0.2361, 0.7361, 0.4722)
Ca (0.0049, 0.0049, 0.0099)
Ca (0.7656, 0.2656, 0.5312)

Arrangement 2

VASP calculation (meta-GGA SCAN) on a crystal of SrCa2Sc relaxed with PBEsol.

Summary:
V	146.42	Å³ per cell
crystal system	orthorhombic
magnetization	0.330	μB per atom

a b c (Å): 3.9751 6.0383 7.0907
angles (deg): 115.20 106.28 90.00
Fractional positions:
Sc (0.5000, 0.0000, 0.0000)
Sr (0.0000, 0.5000, 0.0000)
Ca (0.7707, 0.7707, 0.5414)
Ca (0.2293, 0.2293, 0.4586)

Which of them is the most stable, and which is the least stable? arrangement 2 and arrangement 1, in that order.

Arrangement 1

VASP calculation (meta-GGA SCAN) on a crystal of Sr2CaSc relaxed with PBEsol.

Summary:
V	157.27	Å³ per cell
crystal system	tetragonal
magnetization	0.229	μB per atom

a b c (Å): 4.0621 4.0621 9.5310
angles (deg): 90.00 90.00 90.00
Fractional positions:
Sc (0.5000, 0.5000, 0.5000)
Sr (0.0000, 0.0000, 0.2816)
Sr (0.0000, 0.0000, 0.7184)
Ca (0.5000, 0.5000, 0.0000)

Arrangement 2

VASP calculation (meta-GGA SCAN) on a crystal of Sr2CaSc relaxed with PBEsol.

Summary:
V	155.48	Å³ per cell
crystal system	cubic
magnetization	0.368	μB per atom

a b c (Å): 6.0357 6.0357 6.0357
angles (deg): 60.00 60.00 60.00
Fractional positions:
Sc (0.5000, 0.5000, 0.5000)
Sr (0.7500, 0.7500, 0.7500)
Sr (0.2500, 0.2500, 0.2500)
Ca (0.0000, 0.0000, 0.0000)

Which of them is the most stable, and which is the least stable? arrangement 1 and arrangement 2, in that order.

Arrangement 1

VASP calculation (meta-GGA SCAN) on a crystal of CaSc2Tc relaxed with PBEsol.

Summary:
V	92.82	Å³ per cell
crystal system	monoclinic
magnetization	0.022	μB per atom

a b c (Å): 3.3009 3.3003 8.5203
angles (deg): 90.00 90.12 90.00
Fractional positions:
Tc (0.5000, 0.5000, 0.0000)
Sc (0.9989, 0.0000, 0.1719)
Sc (0.0011, 0.0000, 0.8281)
Ca (0.5000, 0.5000, 0.5000)

Arrangement 2

VASP calculation (meta-GGA SCAN) on a crystal of CaSc2Tc relaxed with PBEsol.

Summary:
V	83.21	Å³ per cell
crystal system	orthorhombic
magnetization	0.000	μB per atom

a b c (Å): 4.1799 5.0446 5.0446
angles (deg): 63.63 65.53 65.53
Fractional positions:
Ca (0.0000, 0.5000, 0.5000)
Tc (0.5000, 0.0000, 0.0000)
Sc (0.7851, 0.2149, 0.2149)
Sc (0.2149, 0.7851, 0.7851)

Which of them is the most stable, and which is the least stable? arrangement 1 and arrangement 2, in that order.

Arrangement 1

VASP calculation (meta-GGA SCAN) on a crystal of CaScTc2 relaxed with PBEsol.

Summary:
V	70.29	Å³ per cell
crystal system	tetragonal
magnetization	0.000	μB per atom

a b c (Å): 2.7443 2.7443 9.3333
angles (deg): 90.00 90.00 90.00
Fractional positions:
Tc (0.0000, 0.0000, 0.2653)
Tc (0.0000, 0.0000, 0.7347)
Sc (0.5000, 0.5000, 0.5000)
Ca (0.5000, 0.5000, 0.0000)

Arrangement 2

VASP calculation (meta-GGA SCAN) on a crystal of CaScTc2 relaxed with PBEsol.

Summary:
V	69.21	Å³ per cell
crystal system	orthorhombic
magnetization	0.001	μB per atom

a b c (Å): 3.2637 4.5580 4.6523
angles (deg): 90.00 90.00 90.00
Fractional positions:
Sc (0.0000, 0.5000, 0.5000)
Tc (0.0000, 0.0000, 0.0000)
Tc (0.5000, 0.0000, 0.5000)
Ca (0.5000, 0.5000, 0.0000)

Which of them is the most stable, and which is the least stable? arrangement 1 and arrangement 2, in that order.